The following is a DFT calculation (PBE-GGA) of a relaxed structure of HRh3Pb.

Lattice parameters (Å, degrees): 17.535 5.181 7.461 90.00 155.84 90.00
Atoms (fractional coordinates):
H 0.576 0.125 0.864
H 0.076 0.375 0.364
H 0.924 0.625 0.636
H 0.424 0.875 0.136
Rh 0.158 0.626 0.279
Rh 0.265 0.619 0.866
Rh 0.985 0.266 0.387
Rh 0.485 0.234 0.887
Rh 0.658 0.874 0.779
Rh 0.235 0.119 0.634
Rh 0.015 0.734 0.613
Rh 0.735 0.381 0.134
Rh 0.765 0.881 0.366
Rh 0.842 0.374 0.721
Rh 0.342 0.126 0.221
Rh 0.515 0.766 0.113
Pb 0.405 0.658 0.515
Pb 0.095 0.158 0.985
Pb 0.905 0.842 0.015
Pb 0.595 0.342 0.485

final energy: -5.731 eV/atom
Fermi-level density of states: 23.51 states/eV/cell
total magnetization: 0.00 μB per formula unit